[1]
First-principles (PBE-GGA) data for LiNd4Pt3 after structural relaxation, as listed in Alexandria.

SG   Pmm2, No. 25
E_tot   -5.7396 eV/atom
Calculated formation energy   -6.81 eV/f.u.
Crystal system   orthorhombic

abc: 3.937 4.602 10.987
angles: 90.00 90.00 90.00
Fractional positions:
Pt (0.000, 0.500, 0.590)
Pt (0.000, 0.000, 0.412)
Pt (0.500, 0.000, 0.930)
Nd (0.500, 0.000, 0.638)
Nd (0.000, 0.000, 0.140)
Nd (0.500, 0.500, 0.372)
Nd (0.000, 0.500, 0.852)
Li (0.500, 0.500, 0.065)

[2]
First-principles (PBE-GGA) data for Ac6Sb3TeP2 after structural relaxation, as listed in Alexandria.

SG   C2/m, No. 12
ΔE_f (raw)   -16.24 eV per formula unit
E_tot   -5.6019 eV/atom
Crystal system   monoclinic

abc: 4.663 9.373 10.424
angles: 102.69 102.92 90.00
Fractional positions:
P (0.168, 0.335, 0.336)
P (0.832, 0.665, 0.664)
Ac (0.328, 0.427, 0.657)
Ac (0.671, 0.101, 0.343)
Ac (0.008, 0.260, 0.016)
Ac (0.992, 0.740, 0.984)
Ac (0.329, 0.899, 0.657)
Ac (0.672, 0.573, 0.343)
Te (0.500, 0.000, 0.000)
Sb (0.838, 0.167, 0.676)
Sb (0.500, 0.500, 0.000)
Sb (0.162, 0.833, 0.324)

[3]
First-principles (PBE-GGA) data for CdFePt2 after structural relaxation, as listed in Alexandria.

SG   C2/m, No. 12
E_tot   -5.4620 eV/atom
Calculated formation energy   -0.39 eV/f.u.
Crystal system   monoclinic

abc: 4.776 4.776 5.015
angles: 79.25 79.25 34.52
Site moments in Bohr magnetons follow the coordinates.
Fractional positions:
Cd (0.750, 0.750, 0.750)  -0.04
Pt (0.509, 0.509, 0.484)  0.20
Pt (0.991, 0.991, 0.016)  0.20
Fe (0.250, 0.250, 0.250)  2.96

[4]
First-principles (PBE-GGA) data for MgAlAg2 after structural relaxation, as listed in Alexandria.

SG   Fm-3m, No. 225
Energy above the lowest structure with this stoichiometry   0.000 eV per atom
E_tot   -2.9322 eV/atom
Calculated formation energy   -0.69 eV/f.u.
Crystal system   cubic

abc: 4.610 4.610 4.610
angles: 60.00 60.00 60.00
Fractional positions:
Ag (0.750, 0.750, 0.750)
Ag (0.250, 0.250, 0.250)
Al (0.500, 0.500, 0.500)
Mg (0.000, 0.000, 0.000)

[5]
First-principles (PBE-GGA) data for Na4Ti3O8 after structural relaxation, as listed in Alexandria.

SG   C2/m, No. 12
ΔE_f (raw)   -37.19 eV per formula unit
E_tot   -7.0544 eV/atom
Crystal system   monoclinic

abc: 6.110 6.110 6.558
angles: 61.77 61.77 60.50
Fractional positions:
Ti (0.000, 0.500, 0.500)
Ti (0.000, 0.000, 0.500)
Ti (0.500, 0.000, 0.500)
O (0.748, 0.748, 0.307)
O (0.234, 0.234, 0.300)
O (0.252, 0.252, 0.693)
O (0.807, 0.250, 0.687)
O (0.750, 0.193, 0.313)
O (0.250, 0.807, 0.687)
O (0.193, 0.750, 0.313)
O (0.766, 0.766, 0.700)
Na (0.000, 0.000, 0.000)
Na (0.500, 0.000, 0.000)
Na (0.500, 0.500, 0.500)
Na (0.000, 0.500, 0.000)

[6]
First-principles (PBE-GGA) data for Sc2Ag2Sn after structural relaxation, as listed in Alexandria.

SG   P4/mbm, No. 127
Energy above the lowest structure with this stoichiometry   0.196 eV per atom
E_tot   -4.6289 eV/atom
Calculated formation energy   -0.78 eV/f.u.
Crystal system   tetragonal

abc: 7.947 7.947 3.510
angles: 90.00 90.00 90.00
Fractional positions:
Sc (0.840, 0.660, 0.000)
Sc (0.340, 0.840, 0.000)
Sc (0.160, 0.340, 0.000)
Sc (0.660, 0.160, 0.000)
Sn (0.500, 0.500, 0.000)
Sn (0.000, 0.000, 0.000)
Ag (0.868, 0.368, 0.500)
Ag (0.132, 0.632, 0.500)
Ag (0.632, 0.868, 0.500)
Ag (0.368, 0.132, 0.500)

[7]
First-principles (PBE-GGA) data for GdMgSi after structural relaxation, as listed in Alexandria.

SG   F-43m, No. 216
ΔE_f (raw)   -1.18 eV per formula unit
E_tot   -7.4274 eV/atom
Crystal system   cubic

abc: 4.677 4.677 4.677
angles: 60.00 60.00 60.00
Site moments in Bohr magnetons follow the coordinates.
Fractional positions:
Gd (0.000, 0.000, 0.000)  7.05
Mg (0.500, 0.500, 0.500)  0.00
Si (0.250, 0.250, 0.250)  -0.02

[8]
First-principles (PBE-GGA) data for KZr5 after structural relaxation, as listed in Alexandria.

SG   P6/mmm, No. 191
Energy above the lowest structure with this stoichiometry   0.274 eV per atom
E_tot   -6.6284 eV/atom
Calculated formation energy   4.07 eV/f.u.
Crystal system   hexagonal

abc: 6.404 6.404 4.788
angles: 90.00 90.00 120.00
Fractional positions:
K (0.000, 0.000, 0.000)
Zr (0.000, 0.500, 0.500)
Zr (0.500, 0.500, 0.500)
Zr (0.500, 0.000, 0.500)
Zr (0.333, 0.667, 0.000)
Zr (0.667, 0.333, 0.000)

[9]
First-principles (PBE-GGA) data for SnPtNF2 after structural relaxation, as listed in Alexandria.

SG   P4/mmm, No. 123
Energy above the lowest structure with this stoichiometry   0.246 eV per atom
ΔE_f (raw)   -0.37 eV per formula unit
E_tot   -4.4971 eV/atom
Crystal system   tetragonal

abc: 4.142 4.142 4.136
angles: 90.00 90.00 90.00
Site moments in Bohr magnetons follow the coordinates.
Fractional positions:
Pt (0.500, 0.500, 0.500)  0.20
N (0.000, 0.000, 0.500)  0.01
F (0.500, 0.000, 0.000)  0.00
F (0.000, 0.500, 0.000)  0.00
Sn (0.000, 0.000, 0.000)  0.00

[10]
First-principles (PBE-GGA) data for Er8Tm2Mg after structural relaxation, as listed in Alexandria.

SG   Cmmm, No. 65
Energy above the lowest structure with this stoichiometry   0.002 eV per atom
E_tot   -4.1019 eV/atom
Calculated formation energy   1.92 eV/f.u.
Crystal system   orthorhombic

abc: 5.331 10.078 8.130
angles: 51.70 89.96 89.94
Fractional positions:
Er (0.000, 0.332, 0.000)
Er (0.500, 0.697, 0.274)
Er (0.000, 0.249, 0.496)
Er (0.000, 0.662, 0.000)
Er (0.000, 0.745, 0.504)
Er (0.500, 0.024, 0.273)
Er (0.500, 0.297, 0.727)
Er (0.500, 0.970, 0.726)
Tm (0.500, 0.618, 0.759)
Tm (0.500, 0.376, 0.241)
Mg (0.000, 0.997, 0.000)